No. 1
Compound: Ca2NdCu
Source: Alexandria via LeMat-Bulk
Functional: PBE
Structure: optimized geometry Values from VASP.

Cell and atoms, written as Quantum ESPRESSO input:
```
&SYSTEM
  ibrav = 0, nat = 4, ntyp = 3
/
ATOMIC_SPECIES
Ca 40.08 Ca.upf
Cu 63.55 Cu.upf
Nd 144.24 Nd.upf
ATOMIC_POSITIONS crystal
Ca 0.109 0.109 0.674
Ca 0.891 0.891 0.326
Cu 0.500 0.500 0.500
Nd 0.000 0.000 0.000
CELL_PARAMETERS angstrom
3.721 0.000 0.000
1.860 3.222 0.000
1.860 1.074 11.052
```

- Calculated total energy: -12.003 eV per cell
- Crystal system: trigonal
- Energy relative to the lowest polymorph listed for this composition: 231 meV per atom
- Formation enthalpy at 0 K: 0.2161 eV/atom

***

No. 2
Compound: Tb3Pm2NpN6
Source: Alexandria via LeMat-Bulk
Functional: PBE
Structure: optimized geometry Values from VASP.

Cell and atoms, written as Quantum ESPRESSO input:
```
&SYSTEM
  ibrav = 0, nat = 12, ntyp = 4
/
ATOMIC_SPECIES
N 14.01 N.upf
Pm 145.00 Pm.upf
Tb 158.93 Tb.upf
Np 237.00 Np.upf
ATOMIC_POSITIONS crystal
N 0.607 0.918 0.754
N 0.393 0.082 0.246
N 0.082 0.393 0.246
Pm 0.333 0.667 0.000
N 0.228 0.228 0.757
Tb 0.167 0.833 0.500
N 0.772 0.772 0.243
Pm 0.667 0.333 0.000
Tb 0.833 0.167 0.500
Np 0.000 0.000 0.000
N 0.918 0.607 0.754
Tb 0.500 0.500 0.500
CELL_PARAMETERS angstrom
6.100 -0.001 0.001
-3.049 5.283 0.001
-1.017 -1.760 5.725
```

- Calculated total energy: -104.357 eV per cell
- Energy relative to the elements, uncorrected: -1506.0 meV/atom
- Crystal system: monoclinic

***

No. 3
Compound: ZrP2PtS
Source: Alexandria via LeMat-Bulk
Functional: PBE
Structure: optimized geometry Values from VASP.

Cell and atoms, written as Quantum ESPRESSO input:
```
&SYSTEM
  ibrav = 0, nat = 5, ntyp = 4
/
ATOMIC_SPECIES
Pt 195.08 Pt.upf
Zr 91.22 Zr.upf
P 30.97 P.upf
S 32.06 S.upf
ATOMIC_POSITIONS crystal
Pt 0.000 0.000 0.000
Zr 0.500 0.500 0.500
P 0.000 0.500 0.000
S 0.000 0.000 0.500
P 0.500 0.000 0.000
CELL_PARAMETERS angstrom
4.624 0.000 0.000
0.000 4.624 0.000
0.000 0.000 4.714
```

- Calculated total energy: -28.055 eV per cell
- Energy relative to the elements, uncorrected: 296.2 meV/atom
- Crystal system: tetragonal
- Energy relative to the lowest polymorph listed for this composition: 0 meV per atom

***

No. 4
Compound: Pm4NdSm
Source: Alexandria via LeMat-Bulk
Functional: PBE
Structure: optimized geometry Values from VASP.

Cell and atoms, written as Quantum ESPRESSO input:
```
&SYSTEM
  ibrav = 0, nat = 6, ntyp = 3
/
ATOMIC_SPECIES
Sm 150.36 Sm.upf
Pm 145.00 Pm.upf
Nd 144.24 Nd.upf
ATOMIC_POSITIONS crystal
Sm 0.000 0.000 0.000
Pm 0.824 0.824 0.549
Pm 0.324 0.324 0.952
Nd 0.500 0.500 0.500
Pm 0.676 0.676 0.048
Pm 0.176 0.176 0.451
CELL_PARAMETERS angstrom
6.349 0.535 1.015
3.162 5.531 1.015
-0.914 -0.583 6.004
```

- Calculated total energy: -27.890 eV per cell
- Crystal system: monoclinic
- Energy relative to the lowest polymorph listed for this composition: 86 meV per atom
- Formation enthalpy at 0 K: 0.0999 eV/atom

***

No. 5
Compound: ZrFeNi2Au
Source: Alexandria via LeMat-Bulk
Functional: PBE
Structure: optimized geometry Values from VASP.

Cell and atoms, written as Quantum ESPRESSO input:
```
&SYSTEM
  ibrav = 0, nat = 5, ntyp = 4
/
ATOMIC_SPECIES
Ni 58.69 Ni.upf
Fe 55.84 Fe.upf
Au 196.97 Au.upf
Zr 91.22 Zr.upf
ATOMIC_POSITIONS crystal
Ni 0.000 0.000 0.500
Ni 0.500 0.000 0.000
Fe 0.000 0.000 0.000
Au 0.500 0.500 0.500
Zr 0.000 0.500 0.000
CELL_PARAMETERS angstrom
-3.693 0.586 2.252
-2.391 -1.916 -3.422
0.503 -3.924 1.846
```

- Calculated total energy: -28.880 eV per cell
- Crystal system: tetragonal
- Formation enthalpy at 0 K: 0.5942 eV/atom

***

No. 6
Compound: Ag2OsPb
Source: Alexandria via LeMat-Bulk
Functional: PBE
Structure: optimized geometry Values from VASP.

Cell and atoms, written as Quantum ESPRESSO input:
```
&SYSTEM
  ibrav = 0, nat = 4, ntyp = 3
/
ATOMIC_SPECIES
Ag 107.87 Ag.upf
Os 190.23 Os.upf
Pb 207.20 Pb.upf
ATOMIC_POSITIONS crystal
Ag 0.000 0.000 0.000
Ag 0.500 0.500 0.000
Os 0.500 0.000 0.500
Pb 0.000 0.500 0.500
CELL_PARAMETERS angstrom
5.937 0.010 -0.017
-3.290 4.943 -0.017
0.776 1.452 2.586
```

- Calculated total energy: -17.860 eV per cell
- Crystal system: monoclinic
- Formation enthalpy at 0 K: 0.6952 eV/atom

***

No. 7
Compound: Nd2CdNi2Pt5
Source: Alexandria via LeMat-Bulk
Functional: PBE
Structure: optimized geometry Values from VASP.

Cell and atoms, written as Quantum ESPRESSO input:
```
&SYSTEM
  ibrav = 0, nat = 20, ntyp = 4
/
ATOMIC_SPECIES
Pt 195.08 Pt.upf
Ni 58.69 Ni.upf
Nd 144.24 Nd.upf
Cd 112.41 Cd.upf
ATOMIC_POSITIONS crystal
Pt 0.500 0.567 0.712
Ni 0.000 0.380 0.120
Pt 0.500 0.433 0.288
Nd 0.000 0.323 0.823
Pt 0.500 0.712 0.433
Nd 0.000 0.677 0.177
Cd 0.000 0.000 0.000
Pt 0.500 0.933 0.212
Pt 0.500 0.288 0.567
Pt 0.500 0.212 0.067
Pt 0.500 0.500 0.000
Ni 0.000 0.120 0.620
Ni 0.000 0.620 0.880
Pt 0.500 0.067 0.788
Nd 0.000 0.177 0.323
Pt 0.500 0.000 0.500
Pt 0.500 0.788 0.933
Cd 0.000 0.500 0.500
Nd 0.000 0.823 0.677
Ni 0.000 0.880 0.380
CELL_PARAMETERS angstrom
4.060 0.000 0.000
0.000 9.387 0.000
0.000 0.000 9.387
```

- Calculated total energy: -118.964 eV per cell
- Crystal system: tetragonal
- Formation enthalpy at 0 K: -0.7265 eV/atom

***

No. 8
Compound: CaCeZnPd
Source: Alexandria via LeMat-Bulk
Functional: PBE
Structure: optimized geometry Values from VASP.

Cell and atoms, written as Quantum ESPRESSO input:
```
&SYSTEM
  ibrav = 0, nat = 4, ntyp = 4
/
ATOMIC_SPECIES
Ca 40.08 Ca.upf
Zn 65.41 Zn.upf
Pd 106.42 Pd.upf
Ce 140.12 Ce.upf
ATOMIC_POSITIONS crystal
Ca 0.250 0.250 0.250
Zn 0.000 0.000 0.000
Pd 0.500 0.500 0.500
Ce 0.750 0.750 0.750
CELL_PARAMETERS angstrom
5.089 0.000 0.000
2.545 4.407 0.000
2.545 1.469 4.155
```

- Calculated total energy: -16.074 eV per cell
- Crystal system: cubic
- Formation enthalpy at 0 K: -0.4180 eV/atom

***

No. 9
Compound: RbCd2Pb6
Source: Alexandria via LeMat-Bulk
Functional: PBE
Structure: optimized geometry Values from VASP.

Cell and atoms, written as Quantum ESPRESSO input:
```
&SYSTEM
  ibrav = 0, nat = 9, ntyp = 3
/
ATOMIC_SPECIES
Cd 112.41 Cd.upf
Pb 207.20 Pb.upf
Rb 85.47 Rb.upf
ATOMIC_POSITIONS crystal
Cd 0.500 0.500 0.122
Pb 0.500 0.000 0.711
Pb 0.500 0.000 0.289
Pb 0.000 0.500 0.711
Cd 0.500 0.500 0.878
Pb 0.500 0.500 0.500
Rb 0.000 0.000 0.000
Pb 0.000 0.500 0.289
Pb 0.000 0.000 0.500
CELL_PARAMETERS angstrom
-4.565 1.957 0.811
-0.086 -2.096 4.575
4.925 9.624 4.501
```

- Calculated total energy: -25.369 eV per cell
- Crystal system: tetragonal
- Energy relative to the lowest polymorph listed for this composition: 0 meV per atom
- Formation enthalpy at 0 K: -0.0356 eV/atom

***

No. 10
Compound: AcSn2Hg
Source: Alexandria via LeMat-Bulk
Functional: PBE
Structure: optimized geometry Values from VASP.

Cell and atoms, written as Quantum ESPRESSO input:
```
&SYSTEM
  ibrav = 0, nat = 4, ntyp = 3
/
ATOMIC_SPECIES
Sn 118.71 Sn.upf
Ac 227.00 Ac.upf
Hg 200.59 Hg.upf
ATOMIC_POSITIONS crystal
Sn 0.000 0.000 0.793
Sn 0.000 0.000 0.207
Ac 0.500 0.500 0.500
Hg 0.500 0.500 0.000
CELL_PARAMETERS angstrom
4.047 0.000 0.000
0.000 4.047 0.000
0.000 0.000 7.273
```

- Calculated total energy: -13.555 eV per cell
- Crystal system: tetragonal
- Energy relative to the lowest polymorph listed for this composition: 190 meV per atom
- Formation enthalpy at 0 K: -0.2847 eV/atom

***

No. 11
Compound: Ba2SrTl
Source: Alexandria via LeMat-Bulk
Functional: PBE
Structure: optimized geometry Values from VASP.

Cell and atoms, written as Quantum ESPRESSO input:
```
&SYSTEM
  ibrav = 0, nat = 4, ntyp = 3
/
ATOMIC_SPECIES
Sr 87.62 Sr.upf
Ba 137.33 Ba.upf
Tl 204.38 Tl.upf
ATOMIC_POSITIONS crystal
Sr 0.500 0.500 0.250
Ba 0.000 0.000 0.560
Ba 0.000 0.000 0.940
Tl 0.500 0.500 0.750
CELL_PARAMETERS angstrom
-0.372 0.649 -4.274
-4.322 -0.153 0.353
-0.238 10.476 1.613
```

- Calculated total energy: -8.776 eV per cell
- Crystal system: tetragonal
- Energy relative to the lowest polymorph listed for this composition: 0 meV per atom
- Formation enthalpy at 0 K: -0.2207 eV/atom

***

No. 12
Compound: Ca2ScHg
Source: Alexandria via LeMat-Bulk
Functional: PBE
Structure: optimized geometry Values from VASP.

Cell and atoms, written as Quantum ESPRESSO input:
```
&SYSTEM
  ibrav = 0, nat = 4, ntyp = 3
/
ATOMIC_SPECIES
Hg 200.59 Hg.upf
Ca 40.08 Ca.upf
Sc 44.96 Sc.upf
ATOMIC_POSITIONS crystal
Hg 0.750 0.750 0.750
Ca 0.464 0.464 0.536
Sc 0.250 0.250 0.250
Ca 0.036 0.036 0.964
CELL_PARAMETERS angstrom
-5.890 2.318 -1.502
-3.983 1.655 -4.870
-3.542 -3.746 -1.268
```

- Calculated total energy: -10.911 eV per cell
- Crystal system: orthorhombic
- Formation enthalpy at 0 K: -0.0687 eV/atom

***

No. 13
Compound: YSc4Hg5
Source: Alexandria via LeMat-Bulk
Functional: PBE
Structure: optimized geometry Values from VASP.

Cell and atoms, written as Quantum ESPRESSO input:
```
&SYSTEM
  ibrav = 0, nat = 10, ntyp = 3
/
ATOMIC_SPECIES
Hg 200.59 Hg.upf
Y 88.91 Y.upf
Sc 44.96 Sc.upf
ATOMIC_POSITIONS crystal
Hg 0.500 0.500 0.112
Y 0.000 0.000 0.000
Sc 0.000 0.000 0.208
Sc 0.000 0.000 0.403
Hg 0.500 0.500 0.695
Hg 0.500 0.500 0.500
Sc 0.000 0.000 0.792
Sc 0.000 0.000 0.597
Hg 0.500 0.500 0.305
Hg 0.500 0.500 0.888
CELL_PARAMETERS angstrom
-2.970 0.885 -1.754
-1.757 0.226 3.089
4.406 17.255 1.246
```

- Calculated total energy: -37.700 eV per cell
- Crystal system: tetragonal
- Formation enthalpy at 0 K: -0.4401 eV/atom

***

No. 14
Compound: CuTcTe2
Source: Alexandria via LeMat-Bulk
Functional: PBE
Structure: optimized geometry Values from VASP.

Cell and atoms, written as Quantum ESPRESSO input:
```
&SYSTEM
  ibrav = 0, nat = 4, ntyp = 3
/
ATOMIC_SPECIES
Tc 98.00 Tc.upf
Te 127.60 Te.upf
Cu 63.55 Cu.upf
ATOMIC_POSITIONS crystal
Tc 0.750 0.750 0.750
Te 0.389 0.389 0.563
Cu 0.250 0.250 0.250
Te 0.111 0.111 0.937
CELL_PARAMETERS angstrom
-0.914 1.857 -3.585
-2.606 -0.978 -3.064
-4.536 3.785 5.860
```

- Calculated total energy: -19.998 eV per cell
- Energy relative to the elements, uncorrected: 186.8 meV/atom
- Crystal system: monoclinic
- Energy relative to the lowest polymorph listed for this composition: 50 meV per atom

***

No. 15
Compound: BaHgS2Cl
Source: Alexandria via LeMat-Bulk
Functional: PBE
Structure: optimized geometry Values from VASP.

Cell and atoms, written as Quantum ESPRESSO input:
```
&SYSTEM
  ibrav = 0, nat = 5, ntyp = 4
/
ATOMIC_SPECIES
Cl 35.45 Cl.upf
S 32.06 S.upf
Ba 137.33 Ba.upf
Hg 200.59 Hg.upf
ATOMIC_POSITIONS crystal
Cl 0.000 0.000 0.500
S 0.500 0.000 0.000
Ba 0.000 0.000 0.000
Hg 0.500 0.500 0.500
S 0.000 0.500 0.000
CELL_PARAMETERS angstrom
-2.985 -3.306 -4.623
4.858 1.225 -4.013
2.734 -4.973 1.791
```

- Calculated total energy: -13.618 eV per cell
- Energy relative to the elements, uncorrected: -258.5 meV/atom
- Crystal system: tetragonal
- Energy relative to the lowest polymorph listed for this composition: 596 meV per atom

***

No. 16
Compound: NbMoN2
Source: Alexandria via LeMat-Bulk
Functional: PBE
Structure: optimized geometry Values from VASP.

Cell and atoms, written as Quantum ESPRESSO input:
```
&SYSTEM
  ibrav = 0, nat = 4, ntyp = 3
/
ATOMIC_SPECIES
N 14.01 N.upf
Nb 92.91 Nb.upf
Mo 95.94 Mo.upf
ATOMIC_POSITIONS crystal
N 0.106 0.106 0.106
Nb 0.000 0.000 0.000
N 0.894 0.894 0.894
Mo 0.500 0.500 0.500
CELL_PARAMETERS angstrom
1.757 0.000 6.386
-0.879 1.522 6.386
-0.879 -1.522 6.386
```

- Calculated total energy: -37.812 eV per cell
- Energy relative to the elements, uncorrected: -65.0 meV/atom
- Crystal system: trigonal
- Energy relative to the lowest polymorph listed for this composition: 523 meV per atom

***

No. 17
Compound: ZrGe3B
Source: Alexandria via LeMat-Bulk
Functional: PBE
Structure: optimized geometry Values from VASP.

Cell and atoms, written as Quantum ESPRESSO input:
```
&SYSTEM
  ibrav = 0, nat = 5, ntyp = 3
/
ATOMIC_SPECIES
Ge 72.64 Ge.upf
B 10.81 B.upf
Zr 91.22 Zr.upf
ATOMIC_POSITIONS crystal
Ge 0.000 0.500 0.000
Ge 0.000 0.000 0.500
B 0.000 0.000 0.000
Ge 0.500 0.000 0.000
Zr 0.500 0.500 0.500
CELL_PARAMETERS angstrom
4.416 0.000 0.000
0.000 4.416 0.000
0.000 0.000 4.416
```

- Calculated total energy: -26.374 eV per cell
- Crystal system: cubic
- Energy relative to the lowest polymorph listed for this composition: 0 meV per atom
- Formation enthalpy at 0 K: 0.5407 eV/atom

***

No. 18
Compound: PaTe2F
Source: Alexandria via LeMat-Bulk
Functional: PBE
Structure: optimized geometry Values from VASP.

Cell and atoms, written as Quantum ESPRESSO input:
```
&SYSTEM
  ibrav = 0, nat = 8, ntyp = 3
/
ATOMIC_SPECIES
Pa 231.04 Pa.upf
Te 127.60 Te.upf
F 19.00 F.upf
ATOMIC_POSITIONS crystal
Pa 0.126 0.750 0.250
Te 0.949 0.751 0.594
F 0.374 0.250 0.750
Pa 0.874 0.250 0.750
Te 0.706 0.251 0.094
Te 0.294 0.749 0.906
Te 0.051 0.249 0.406
F 0.626 0.750 0.250
CELL_PARAMETERS angstrom
4.369 0.000 1.315
2.055 5.388 1.086
-0.388 -0.711 9.205
```

- Calculated total energy: -47.278 eV per cell
- Energy relative to the elements, uncorrected: -1497.1 meV/atom
- Crystal system: monoclinic
- Energy relative to the lowest polymorph listed for this composition: 140 meV per atom

***

No. 19
Compound: Ca6HgPt5
Source: Alexandria via LeMat-Bulk
Functional: PBE
Structure: optimized geometry Values from VASP.

Cell and atoms, written as Quantum ESPRESSO input:
```
&SYSTEM
  ibrav = 0, nat = 12, ntyp = 3
/
ATOMIC_SPECIES
Hg 200.59 Hg.upf
Ca 40.08 Ca.upf
Pt 195.08 Pt.upf
ATOMIC_POSITIONS crystal
Hg 0.000 0.000 0.000
Ca 0.173 0.431 0.345
Ca 0.500 0.267 0.000
Pt 0.331 0.331 0.663
Pt 0.669 0.669 0.337
Pt 0.341 0.841 0.682
Pt 0.000 0.500 0.000
Pt 0.659 0.159 0.318
Ca 0.827 0.086 0.655
Ca 0.500 0.733 0.000
Ca 0.173 0.914 0.345
Ca 0.827 0.569 0.655
CELL_PARAMETERS angstrom
4.767 0.004 -1.467
-0.783 6.634 -2.528
0.048 -0.549 8.635
```

- Calculated total energy: -52.437 eV per cell
- Crystal system: orthorhombic
- Formation enthalpy at 0 K: -0.8268 eV/atom

***

No. 20
Compound: Ho6HC2S3
Source: Alexandria via LeMat-Bulk
Functional: PBE
Structure: optimized geometry Values from VASP.

Cell and atoms, written as Quantum ESPRESSO input:
```
&SYSTEM
  ibrav = 0, nat = 12, ntyp = 4
/
ATOMIC_SPECIES
Ho 164.93 Ho.upf
S 32.06 S.upf
C 12.01 C.upf
H 1.01 H.upf
ATOMIC_POSITIONS crystal
Ho 0.325 0.437 0.650
Ho 0.335 0.888 0.669
S 0.164 0.834 0.328
Ho 0.675 0.563 0.350
Ho 0.012 0.257 0.023
Ho 0.988 0.743 0.977
S 0.836 0.166 0.672
C 0.836 0.670 0.671
C 0.164 0.330 0.329
H 0.500 0.000 0.000
Ho 0.665 0.112 0.331
S 0.500 0.500 0.000
CELL_PARAMETERS angstrom
3.714 0.000 0.000
0.000 7.592 0.177
-1.857 -2.284 7.832
```

- Calculated total energy: -76.798 eV per cell
- Crystal system: monoclinic